No. 1
# Pu2PIr GGA-PBE optimized geometry
# Theoretical density = 16.30 Mg/m³
# Energy relative to the lowest polymorph listed for this composition = 403 meV/atom
# Fermi-level density of states = 7.51 states/eV/f.u.
data_Pu2PIr
_space_group_name_H-M_alt 'P 1 21/m 1'
_space_group_IT_number 11
_cell_length_a 5.452
_cell_length_b 3.497
_cell_length_c 7.648
_cell_angle_alpha 90.00
_cell_angle_beta 96.19
_cell_angle_gamma 90.00
loop_
_space_group_symop_operation_xyz
'x,y,z'
'-x,-y,-z'
'-x,y+1/2,-z'
'x,-y+1/2,z'
loop_
_atom_site_label
_atom_site_type_symbol
_atom_site_fract_x
_atom_site_fract_y
_atom_site_fract_z
Pu1 Pu 0.116 0.250 0.074
Pu2 Pu 0.359 0.750 0.455
P1 P 0.166 0.250 0.704
Ir1 Ir 0.409 0.750 0.853

---

No. 2
# Pu2P3Ir2 GGA-PBE optimized geometry
# Theoretical density = 13.26 Mg/m³
# Total DFT energy (no corrections) = -9.7425 eV/atom
# Fermi-level density of states = 14.42 states/eV/f.u.
data_Pu2P3Ir2
_space_group_name_H-M_alt 'C m c m'
_space_group_IT_number 63
_space_group_name_Hall '-C 2c 2'
_cell_length_a 3.958
_cell_length_b 17.379
_cell_length_c 7.027
_cell_angle_alpha 90.00
_cell_angle_beta 90.00
_cell_angle_gamma 90.00
loop_
_atom_site_label
_atom_site_type_symbol
_atom_site_fract_x
_atom_site_fract_y
_atom_site_fract_z
Pu1 Pu 0.000 0.056 0.250
Pu2 Pu 0.000 0.143 0.750
P1 P 0.000 0.225 0.250
P2 P 0.000 0.436 0.038
Ir1 Ir 0.000 0.303 0.551

---

No. 3
# PuP2Ir3 GGA-PBE optimized geometry
# Theoretical density = 14.86 Mg/m³
# Total DFT energy (no corrections) = -9.1163 eV/atom
# Fermi-level density of states = 10.95 states/eV/f.u.
data_PuP2Ir3
_space_group_name_H-M_alt 'I m m m'
_space_group_IT_number 71
_space_group_name_Hall '-I 2 2'
_cell_length_a 3.705
_cell_length_b 8.573
_cell_length_c 12.425
_cell_angle_alpha 90.00
_cell_angle_beta 90.00
_cell_angle_gamma 90.00
loop_
_atom_site_label
_atom_site_type_symbol
_atom_site_fract_x
_atom_site_fract_y
_atom_site_fract_z
Pu1 Pu 0.000 0.000 0.125
P1 P 0.000 0.313 0.500
P2 P 0.000 0.500 0.162
Ir1 Ir 0.000 0.181 0.327
Ir2 Ir 0.000 0.341 0.000

---

No. 4
# PuP3Ir5 GGA-PBE optimized geometry
# Theoretical density = 14.76 Mg/m³
# Total DFT energy (no corrections) = -8.8069 eV/atom
# Fermi-level density of states = 13.82 states/eV/f.u.
data_PuP3Ir5
_space_group_name_H-M_alt 'C m c m'
_space_group_IT_number 63
_space_group_name_Hall '-C 2c 2'
_cell_length_a 3.934
_cell_length_b 12.185
_cell_length_c 12.189
_cell_angle_alpha 90.00
_cell_angle_beta 90.00
_cell_angle_gamma 90.00
loop_
_atom_site_label
_atom_site_type_symbol
_atom_site_fract_x
_atom_site_fract_y
_atom_site_fract_z
Pu1 Pu 0.000 0.137 0.250
P1 P 0.000 0.125 0.750
P2 P 0.000 0.394 0.554
Ir1 Ir 0.000 0.000 0.000
Ir2 Ir 0.000 0.215 0.579
Ir3 Ir 0.000 0.433 0.139

---

No. 5
# Pu3P2IrRh9 GGA-PBE optimized geometry
# Theoretical density = 11.35 Mg/m³
# Total DFT energy (no corrections) = -8.8843 eV/atom
# Fermi-level density of states = 35.82 states/eV/f.u.
data_Pu3P2IrRh9
_space_group_name_H-M_alt 'P -3 m 1'
_space_group_IT_number 164
_space_group_name_Hall '-P 3 2"'
_cell_length_a 5.5723
_cell_length_b 5.5723
_cell_length_c 10.4017
_cell_angle_alpha 90.00
_cell_angle_beta 90.00
_cell_angle_gamma 120.00
loop_
_atom_site_label
_atom_site_type_symbol
_atom_site_fract_x
_atom_site_fract_y
_atom_site_fract_z
Pu1 Pu 0.0000 0.0000 0.0000
Pu2 Pu 0.3333 0.6667 0.5751
P1 P 0.3333 0.6667 0.1559
Ir1 Ir 0.0000 0.0000 0.5000
Rh1 Rh 0.0000 0.5000 0.0000
Rh2 Rh 0.1604 0.3207 0.2985

---

No. 6
# PuUP2Ir2 GGA-PBE optimized geometry
# Theoretical density = 13.93 Mg/m³
# Total DFT energy (no corrections) = -9.9512 eV/atom
# Fermi-level density of states = 11.95 states/eV/f.u.
data_PuUP2Ir2
_space_group_name_H-M_alt 'P -3 m 1'
_space_group_IT_number 164
_space_group_name_Hall '-P 3 2"'
_cell_length_a 4.0645
_cell_length_b 4.0645
_cell_length_c 7.7370
_cell_angle_alpha 90.00
_cell_angle_beta 90.00
_cell_angle_gamma 120.00
loop_
_atom_site_label
_atom_site_type_symbol
_atom_site_fract_x
_atom_site_fract_y
_atom_site_fract_z
Pu1 Pu 0.0000 0.0000 0.0000
U1 U 0.0000 0.0000 0.5000
P1 P 0.3333 0.6667 0.7716
Ir1 Ir 0.3333 0.6667 0.2838

---

Which of these has the highest Fermi-level density of states?
Pu3P2IrRh9